# 1
Entry from the Alexandria database: a relaxed Li2Mn3O6 crystal (PBEsol).

Values from the calculation:
Symmetry   Cmce, No. 64
Formation energy without anion corrections   -1.766 eV/atom

Unit cell a=4.825 b=4.825 c=10.001 alpha=90.00 beta=90.00 gamma=60.61
Sites, in units of the cell vectors:
Li  0.160  0.340  0.250
Li  0.340  0.160  0.750
Li  0.660  0.840  0.250
Li  0.840  0.660  0.750
Mn  0.000  0.000  0.000
Mn  0.163  0.163  0.500
Mn  0.337  0.337  0.000
Mn  0.500  0.500  0.500
Mn  0.663  0.663  0.000
Mn  0.837  0.837  0.500
O  0.002  0.335  0.894
O  0.165  0.498  0.606
O  0.169  0.831  0.397
O  0.331  0.669  0.897
O  0.335  0.002  0.106
O  0.498  0.165  0.394
O  0.502  0.835  0.606
O  0.665  0.998  0.894
O  0.669  0.331  0.103
O  0.831  0.169  0.603
O  0.835  0.502  0.394
O  0.998  0.665  0.106

=====

# 2
Entry from the Alexandria database: a relaxed Li7Mn5O12 crystal (PBEsol).

Values from the calculation:
Symmetry   P2/m, No. 10
Formation energy without anion corrections   -1.892 eV/atom

Unit cell a=5.015 b=2.809 c=13.927 alpha=90.00 beta=91.25 gamma=90.00
Sites, in units of the cell vectors:
Li  0.000  0.000  0.000
Li  0.000  0.000  0.500
Li  0.166  0.500  0.170
Li  0.323  0.000  0.339
Li  0.500  0.500  0.500
Li  0.677  0.000  0.661
Li  0.834  0.500  0.830
Mn  0.163  0.500  0.663
Mn  0.337  0.000  0.837
Mn  0.500  0.500  0.000
Mn  0.663  0.000  0.163
Mn  0.837  0.500  0.337
O  0.033  0.000  0.750
O  0.138  0.500  0.407
O  0.184  0.500  0.915
O  0.323  0.000  0.593
O  0.350  0.000  0.080
O  0.478  0.500  0.758
O  0.522  0.500  0.242
O  0.650  0.000  0.920
O  0.677  0.000  0.407
O  0.816  0.500  0.085
O  0.862  0.500  0.593
O  0.967  0.000  0.250

=====

# 3
Entry from the Alexandria database: a relaxed LiMn7O12 crystal (PBEsol).

Values from the calculation:
Symmetry   C2, No. 5
Formation energy without anion corrections   -1.606 eV/atom

Unit cell a=4.909 b=4.909 c=9.736 alpha=96.11 beta=96.11 gamma=120.29
Sites, in units of the cell vectors:
Li  0.000  0.000  0.000
Mn  0.070  0.411  0.242
Mn  0.142  0.858  0.500
Mn  0.328  0.672  0.000
Mn  0.489  0.511  0.500
Mn  0.589  0.930  0.758
Mn  0.652  0.348  0.000
Mn  0.815  0.185  0.500
O  0.040  0.684  0.114
O  0.102  0.152  0.388
O  0.210  0.582  0.610
O  0.316  0.960  0.886
O  0.374  0.402  0.107
O  0.418  0.790  0.390
O  0.527  0.221  0.608
O  0.598  0.626  0.893
O  0.699  0.074  0.113
O  0.779  0.473  0.392
O  0.848  0.898  0.612
O  0.926  0.301  0.887